Below is a relaxed structure of Tb3Ho4Zr, with properties calculated at the PBE-GGA level.

Values from the calculation:
- E (eV/atom) = -5.045
- energy relative to the elements (eV/atom) = 0.049
- magnetic moment (μB per formula unit) = 0.00
- Fermi-level density of states (states/eV per cell) = 29.5

The structure in CIF format:
```
data_Tb3Ho4Zr
_cell_length_a 11.114
_cell_length_b 7.134
_cell_length_c 6.156
_cell_angle_alpha 90.00
_cell_angle_beta 90.00
_cell_angle_gamma 90.00
_space_group_name_H-M_alt 'P m n 21'
_space_group_IT_number 31
_space_group_name_Hall 'P 2ac -2'
loop_
_atom_site_label
_atom_site_fract_x
_atom_site_fract_y
_atom_site_fract_z
Tb1 0.000 0.118 0.000
Tb2 0.248 0.121 0.326
Ho1 0.000 0.373 0.500
Ho2 0.000 0.632 0.997
Ho3 0.243 0.629 0.339
Zr1 0.000 0.875 0.503
```